Entry from the Alexandria database: Sr2LiSbTe after structural relaxation (PBE). Values from VASP.

Cell and atoms, written as Quantum ESPRESSO input:
```
&SYSTEM
  ibrav = 0, nat = 5, ntyp = 4
/
ATOMIC_SPECIES
Sb 121.76 Sb.upf
Te 127.60 Te.upf
Li 6.94 Li.upf
Sr 87.62 Sr.upf
CELL_PARAMETERS angstrom
-1.080 -3.677 4.835
-1.412 -3.648 -3.090
5.818 -2.038 -0.251
ATOMIC_POSITIONS crystal
Sb 0.500 0.500 0.500
Te 0.000 0.000 0.000
Li 0.000 0.500 0.000
Sr 0.000 0.000 0.500
Sr 0.500 0.000 0.000
```

Computed properties:
The symmetry is P4/mmm (123). The mass density is 3.8 Mg/m³.

---

Entry from the Alexandria database: SrLiSb2Te after structural relaxation (PBE). Values from VASP.

Cell and atoms, written as Quantum ESPRESSO input:
```
&SYSTEM
  ibrav = 0, nat = 5, ntyp = 4
/
ATOMIC_SPECIES
Sb 121.76 Sb.upf
Te 127.60 Te.upf
Li 6.94 Li.upf
Sr 87.62 Sr.upf
CELL_PARAMETERS angstrom
-1.932 4.519 -1.216
-4.538 -2.130 -0.705
-1.273 0.916 5.428
ATOMIC_POSITIONS crystal
Sb 0.000 0.500 0.000
Sb 0.500 0.000 0.000
Te 0.000 0.000 0.500
Li 0.000 0.000 0.000
Sr 0.500 0.500 0.500
```

Computed properties:
The symmetry is P4/mmm (123). The mass density is 5.3 Mg/m³.

---

Entry from the Alexandria database: SrLiSbTe3 after structural relaxation (PBE). Values from VASP.

Cell and atoms, written as Quantum ESPRESSO input:
```
&SYSTEM
  ibrav = 0, nat = 12, ntyp = 4
/
ATOMIC_SPECIES
Sr 87.62 Sr.upf
Li 6.94 Li.upf
Sb 121.76 Sb.upf
Te 127.60 Te.upf
CELL_PARAMETERS angstrom
-1.080 3.516 -2.531
-7.384 -4.564 -3.190
-3.348 4.656 7.898
ATOMIC_POSITIONS crystal
Sr 0.250 0.193 0.251
Sr 0.750 0.807 0.749
Li 0.250 0.085 0.591
Li 0.750 0.915 0.409
Sb 0.250 0.674 0.152
Sb 0.750 0.326 0.848
Te 0.750 0.894 0.114
Te 0.250 0.106 0.886
Te 0.250 0.777 0.487
Te 0.750 0.223 0.513
Te 0.750 0.441 0.166
Te 0.250 0.559 0.834
```

Computed properties:
The symmetry is P2_1/m (11). The mass density is 5.1 Mg/m³.

---

Entry from the Alexandria database: SrLiSbTe2 after structural relaxation (PBE). Values from VASP.

Cell and atoms, written as Quantum ESPRESSO input:
```
&SYSTEM
  ibrav = 0, nat = 5, ntyp = 4
/
ATOMIC_SPECIES
Sb 121.76 Sb.upf
Te 127.60 Te.upf
Li 6.94 Li.upf
Sr 87.62 Sr.upf
CELL_PARAMETERS angstrom
-5.027 1.173 -1.913
-2.240 -2.326 4.458
0.125 4.298 2.306
ATOMIC_POSITIONS crystal
Sb 0.000 0.000 0.500
Te 0.000 0.500 0.000
Te 0.500 0.000 0.000
Li 0.000 0.000 0.000
Sr 0.500 0.500 0.500
```

Computed properties:
The symmetry is P4/mmm (123). The mass density is 5.3 Mg/m³.

---

Entry from the Alexandria database: SrLiSb2Te after structural relaxation (PBE). Values from VASP.

Cell and atoms, written as Quantum ESPRESSO input:
```
&SYSTEM
  ibrav = 0, nat = 5, ntyp = 4
/
ATOMIC_SPECIES
Sb 121.76 Sb.upf
Te 127.60 Te.upf
Li 6.94 Li.upf
Sr 87.62 Sr.upf
CELL_PARAMETERS angstrom
-4.159 -0.787 -4.373
-4.306 -0.763 4.233
-1.102 6.024 -0.035
ATOMIC_POSITIONS crystal
Sb 0.000 0.500 0.000
Sb 0.500 0.000 0.000
Te 0.000 0.000 0.500
Li 0.500 0.500 0.500
Sr 0.000 0.000 0.000
```

Computed properties:
The symmetry is P4/mmm (123). The mass density is 3.4 Mg/m³.

---

Entry from the Alexandria database: Sr2Li3TlSb4 after structural relaxation (PBE). Values from VASP.

Cell and atoms, written as Quantum ESPRESSO input:
```
&SYSTEM
  ibrav = 0, nat = 10, ntyp = 4
/
ATOMIC_SPECIES
Sr 87.62 Sr.upf
Li 6.94 Li.upf
Tl 204.38 Tl.upf
Sb 121.76 Sb.upf
CELL_PARAMETERS angstrom
-4.793 -0.505 0.502
0.677 -4.287 2.154
0.530 5.309 10.398
ATOMIC_POSITIONS crystal
Sr 0.500 0.000 0.225
Sr 0.000 0.500 0.775
Li 0.000 0.000 0.500
Li 0.500 0.000 0.881
Li 0.000 0.500 0.119
Tl 0.500 0.500 0.500
Sb 0.500 0.500 0.000
Sb 0.000 0.000 0.000
Sb 0.500 0.000 0.650
Sb 0.000 0.500 0.350
```

Computed properties:
The symmetry is P-4m2 (115). The mass density is 5.4 Mg/m³.

---

Entry from the Alexandria database: SrLiTlSb after structural relaxation (PBE). Values from VASP.

Cell and atoms, written as Quantum ESPRESSO input:
```
&SYSTEM
  ibrav = 0, nat = 4, ntyp = 4
/
ATOMIC_SPECIES
Sb 121.76 Sb.upf
Tl 204.38 Tl.upf
Li 6.94 Li.upf
Sr 87.62 Sr.upf
CELL_PARAMETERS angstrom
-0.417 -3.332 4.320
0.802 -5.378 -0.606
4.479 -2.350 2.085
ATOMIC_POSITIONS crystal
Sb 0.000 0.000 0.000
Tl 0.500 0.500 0.500
Li 0.750 0.750 0.750
Sr 0.250 0.250 0.250
```

Computed properties:
The symmetry is F-43m (216). The mass density is 6.0 Mg/m³.

---

Entry from the Alexandria database: Sr2Li3TmSb4 after structural relaxation (PBE). Values from VASP.

Cell and atoms, written as Quantum ESPRESSO input:
```
&SYSTEM
  ibrav = 0, nat = 10, ntyp = 4
/
ATOMIC_SPECIES
Sr 87.62 Sr.upf
Li 6.94 Li.upf
Tm 168.93 Tm.upf
Sb 121.76 Sb.upf
CELL_PARAMETERS angstrom
4.809 0.000 0.000
0.000 4.809 0.000
0.000 0.000 11.783
ATOMIC_POSITIONS crystal
Sr 0.500 0.000 0.220
Sr 0.000 0.500 0.780
Li 0.000 0.000 0.500
Li 0.500 0.000 0.880
Li 0.000 0.500 0.120
Tm 0.500 0.500 0.500
Sb 0.500 0.500 0.000
Sb 0.000 0.000 0.000
Sb 0.500 0.000 0.649
Sb 0.000 0.500 0.351
```

Computed properties:
The symmetry is P-4m2 (115). The mass density is 5.2 Mg/m³.

---

Entry from the Alexandria database: SrLiZnSb2 after structural relaxation (PBE). Values from VASP.

Cell and atoms, written as Quantum ESPRESSO input:
```
&SYSTEM
  ibrav = 0, nat = 5, ntyp = 4
/
ATOMIC_SPECIES
Sr 87.62 Sr.upf
Li 6.94 Li.upf
Zn 65.41 Zn.upf
Sb 121.76 Sb.upf
CELL_PARAMETERS angstrom
4.447 0.000 0.000
0.000 4.447 0.000
-2.224 -2.224 6.572
ATOMIC_POSITIONS crystal
Sr 0.000 0.000 0.000
Li 0.750 0.250 0.500
Zn 0.250 0.750 0.500
Sb 0.624 0.624 0.248
Sb 0.376 0.376 0.752
```

Computed properties:
The symmetry is I-4m2 (119). The mass density is 5.2 Mg/m³.

---

Entry from the Alexandria database: Sr2Li3ZnSb4 after structural relaxation (PBE). Values from VASP.

Cell and atoms, written as Quantum ESPRESSO input:
```
&SYSTEM
  ibrav = 0, nat = 10, ntyp = 4
/
ATOMIC_SPECIES
Sr 87.62 Sr.upf
Li 6.94 Li.upf
Zn 65.41 Zn.upf
Sb 121.76 Sb.upf
CELL_PARAMETERS angstrom
-0.763 -2.846 -3.627
0.444 -3.705 2.813
-11.243 0.281 2.145
ATOMIC_POSITIONS crystal
Sr 0.500 0.000 0.244
Sr 0.000 0.500 0.756
Li 0.000 0.000 0.500
Li 0.500 0.000 0.869
Li 0.000 0.500 0.131
Zn 0.500 0.500 0.500
Sb 0.500 0.500 0.000
Sb 0.000 0.000 0.000
Sb 0.500 0.000 0.637
Sb 0.000 0.500 0.363
```

Computed properties:
The symmetry is P-4m2 (115). The mass density is 5.0 Mg/m³.

---

Entry from the Alexandria database: LiTaSb2 after structural relaxation (PBE). Values from VASP.

Cell and atoms, written as Quantum ESPRESSO input:
```
&SYSTEM
  ibrav = 0, nat = 4, ntyp = 3
/
ATOMIC_SPECIES
Li 6.94 Li.upf
Sb 121.76 Sb.upf
Ta 180.95 Ta.upf
CELL_PARAMETERS angstrom
3.588 0.000 0.000
0.000 3.589 0.000
0.000 0.000 6.428
ATOMIC_POSITIONS crystal
Li 0.500 0.500 0.750
Sb 0.000 0.000 0.012
Sb 0.000 0.000 0.488
Ta 0.500 0.500 0.250
```

Computed properties:
The symmetry is P4/mmm (123). The mass density is 8.7 Mg/m³.

---

Entry from the Alexandria database: LiTaSb2 after structural relaxation (PBE). Values from VASP.

Cell and atoms, written as Quantum ESPRESSO input:
```
&SYSTEM
  ibrav = 0, nat = 4, ntyp = 3
/
ATOMIC_SPECIES
Li 6.94 Li.upf
Sb 121.76 Sb.upf
Ta 180.95 Ta.upf
CELL_PARAMETERS angstrom
-2.300 1.535 -4.572
-4.507 -1.014 2.684
-0.928 2.908 0.739
ATOMIC_POSITIONS crystal
Li 0.000 0.500 0.500
Sb 0.000 0.000 0.000
Sb 0.500 0.500 0.000
Ta 0.500 0.000 0.500
```

Computed properties:
The symmetry is C2/m (12). The mass density is 8.4 Mg/m³.

---

Entry from the Alexandria database: LiTaSb2 after structural relaxation (PBE). Values from VASP.

Cell and atoms, written as Quantum ESPRESSO input:
```
&SYSTEM
  ibrav = 0, nat = 4, ntyp = 3
/
ATOMIC_SPECIES
Li 6.94 Li.upf
Sb 121.76 Sb.upf
Ta 180.95 Ta.upf
CELL_PARAMETERS angstrom
-4.223 6.868 -0.886
-4.962 5.231 3.715
6.553 -4.728 -0.702
ATOMIC_POSITIONS crystal
Li 0.304 0.804 0.500
Sb 0.955 0.955 0.000
Sb 0.693 0.193 0.500
Ta 0.547 0.547 0.000
```

Computed properties:
The symmetry is Imm2 (44). The mass density is 7.6 Mg/m³.

---

Entry from the Alexandria database: LiTaSb2 after structural relaxation (PBE). Values from VASP.

Cell and atoms, written as Quantum ESPRESSO input:
```
&SYSTEM
  ibrav = 0, nat = 4, ntyp = 3
/
ATOMIC_SPECIES
Li 6.94 Li.upf
Sb 121.76 Sb.upf
Ta 180.95 Ta.upf
CELL_PARAMETERS angstrom
4.938 0.000 0.000
2.469 4.276 0.000
2.469 1.425 4.032
ATOMIC_POSITIONS crystal
Li 0.500 0.500 0.500
Sb 0.000 0.000 0.000
Sb 0.250 0.250 0.250
Ta 0.750 0.750 0.750
```

Computed properties:
The symmetry is F-43m (216). The mass density is 8.4 Mg/m³.

---

Entry from the Alexandria database: LiTaSb2 after structural relaxation (PBE). Values from VASP.

Cell and atoms, written as Quantum ESPRESSO input:
```
&SYSTEM
  ibrav = 0, nat = 4, ntyp = 3
/
ATOMIC_SPECIES
Li 6.94 Li.upf
Sb 121.76 Sb.upf
Ta 180.95 Ta.upf
CELL_PARAMETERS angstrom
-1.595 -2.958 -1.194
2.560 -1.719 0.837
-1.102 -2.465 7.580
ATOMIC_POSITIONS crystal
Li 0.500 0.750 0.750
Sb 0.000 0.930 0.021
Sb 0.000 0.570 0.479
Ta 0.500 0.250 0.250
```

Computed properties:
The symmetry is P2/m (10). The mass density is 8.2 Mg/m³.

---

Entry from the Alexandria database: LiTaSb2 after structural relaxation (PBE). Values from VASP.

Cell and atoms, written as Quantum ESPRESSO input:
```
&SYSTEM
  ibrav = 0, nat = 4, ntyp = 3
/
ATOMIC_SPECIES
Li 6.94 Li.upf
Sb 121.76 Sb.upf
Ta 180.95 Ta.upf
CELL_PARAMETERS angstrom
3.240 0.012 0.000
-0.913 3.109 0.000
0.000 0.000 8.552
ATOMIC_POSITIONS crystal
Li 0.500 0.500 0.750
Sb 0.000 0.000 0.008
Sb 0.000 0.000 0.492
Ta 0.500 0.500 0.250
```

Computed properties:
The symmetry is Cmmm (65). The mass density is 8.3 Mg/m³.

---

Entry from the Alexandria database: LiTaSb3 after structural relaxation (PBE). Values from VASP.

Cell and atoms, written as Quantum ESPRESSO input:
```
&SYSTEM
  ibrav = 0, nat = 5, ntyp = 3
/
ATOMIC_SPECIES
Sb 121.76 Sb.upf
Li 6.94 Li.upf
Ta 180.95 Ta.upf
CELL_PARAMETERS angstrom
-4.695 -2.014 -1.750
-0.319 -3.092 4.415
-2.649 3.942 2.569
ATOMIC_POSITIONS crystal
Sb 0.000 0.500 0.000
Sb 0.000 0.000 0.500
Sb 0.500 0.000 0.000
Li 0.500 0.500 0.500
Ta 0.000 0.000 0.000
```

Computed properties:
The symmetry is Pm-3m (221). The mass density is 5.8 Mg/m³.

---

Entry from the Alexandria database: LiTaSb2 after structural relaxation (PBE). Values from VASP.

Cell and atoms, written as Quantum ESPRESSO input:
```
&SYSTEM
  ibrav = 0, nat = 4, ntyp = 3
/
ATOMIC_SPECIES
Sb 121.76 Sb.upf
Li 6.94 Li.upf
Ta 180.95 Ta.upf
CELL_PARAMETERS angstrom
0.000 3.469 3.469
3.469 0.000 3.469
3.469 3.469 0.000
ATOMIC_POSITIONS crystal
Sb 0.250 0.250 0.250
Sb 0.750 0.750 0.750
Li 0.000 0.000 0.000
Ta 0.500 0.500 0.500
```

Computed properties:
The symmetry is Fm-3m (225). The mass density is 8.6 Mg/m³.

---

Entry from the Alexandria database: Li3TaSb after structural relaxation (PBE). Values from VASP.

Cell and atoms, written as Quantum ESPRESSO input:
```
&SYSTEM
  ibrav = 0, nat = 5, ntyp = 3
/
ATOMIC_SPECIES
Sb 121.76 Sb.upf
Li 6.94 Li.upf
Ta 180.95 Ta.upf
CELL_PARAMETERS angstrom
4.957 0.000 0.000
0.000 4.957 0.000
0.000 0.000 4.957
ATOMIC_POSITIONS crystal
Sb 0.000 0.000 0.000
Li 0.000 0.500 0.000
Li 0.000 0.000 0.500
Li 0.500 0.000 0.000
Ta 0.500 0.500 0.500
```

Computed properties:
The symmetry is Pm-3m (221). The mass density is 4.4 Mg/m³.

---

Entry from the Alexandria database: Li4TaSb after structural relaxation (PBE). Values from VASP.

Cell and atoms, written as Quantum ESPRESSO input:
```
&SYSTEM
  ibrav = 0, nat = 6, ntyp = 3
/
ATOMIC_SPECIES
Li 6.94 Li.upf
Ta 180.95 Ta.upf
Sb 121.76 Sb.upf
CELL_PARAMETERS angstrom
0.604 -3.742 3.540
-4.146 -2.479 1.886
-0.869 -4.949 -1.284
ATOMIC_POSITIONS crystal
Li 0.880 0.373 0.373
Li 0.373 0.373 0.880
Li 0.373 0.880 0.373
Li 0.373 0.373 0.373
Ta 0.000 0.000 0.000
Sb 0.750 0.750 0.750
```

Computed properties:
The symmetry is F-43m (216). The mass density is 5.6 Mg/m³.

---

Number 1: formation energy from raw total energies -0.84 eV/atom. Number 2: formation energy from raw total energies -0.36 eV/atom. Number 3: formation energy from raw total energies -0.83 eV/atom. Number 4: formation energy from raw total energies -0.50 eV/atom. Number 5: formation energy from raw total energies 0.33 eV/atom. Number 6: formation energy from raw total energies -0.62 eV/atom. Number 7: formation energy from raw total energies -0.45 eV/atom. Number 8: formation energy from raw total energies -0.79 eV/atom. Number 9: formation energy from raw total energies -0.58 eV/atom. Number 10: formation energy from raw total energies -0.70 eV/atom. Number 11: formation energy from raw total energies -0.10 eV/atom. Number 12: formation energy from raw total energies 0.08 eV/atom. Number 13: formation energy from raw total energies -0.02 eV/atom. Number 14: formation energy from raw total energies 0.50 eV/atom. Number 15: formation energy from raw total energies -0.09 eV/atom. Number 16: formation energy from raw total energies -0.04 eV/atom. Number 17: formation energy from raw total energies 0.25 eV/atom. Number 18: formation energy from raw total energies 0.09 eV/atom. Number 19: formation energy from raw total energies 0.92 eV/atom. Number 20: formation energy from raw total energies 0.29 eV/atom.